Entry from the Alexandria database: a relaxed structure of LaBeNi4 (PBE-GGA).

Computed properties:
As for the uncorrected energy: -5.4076 eV per atom. The calculated formation energy comes out at -111 meV/atom. The space group is F-43m.

Structure (POSCAR):
```
LaBeNi4
1.0
0.000 3.487 3.487
3.487 0.000 3.487
3.487 3.487 0.000
La Be Ni
1 1 4
Direct
0.000 0.000 0.000
0.250 0.250 0.250
0.131 0.623 0.623
0.623 0.131 0.623
0.623 0.623 0.131
0.623 0.623 0.623
```

Entry from the Alexandria database: a relaxed structure of LiZn2FeSi (PBE-GGA).

Computed properties:
As for the uncorrected energy: -2.6892 eV per atom. The calculation puts the uncorrected formation energy at 0.980 eV per atom. The space group is P4/mmm.

Structure (POSCAR):
```
LiZn2FeSi
1.0
4.142 0.000 0.000
0.000 4.142 0.000
0.000 0.000 4.183
Li Zn Fe Si
1 2 1 1
Direct
0.000 0.000 0.000
0.000 0.500 0.000
0.500 0.000 0.000
0.500 0.500 0.500
0.000 0.000 0.500
```

Entry from the Alexandria database: a relaxed structure of Ca2AgPd3 (PBE-GGA).

Computed properties:
As for the uncorrected energy: -4.0608 eV per atom. The calculated formation energy comes out at -322 meV/atom. The space group is Immm. The value obtained for the energy above the most stable polymorph in this dataset is 269 meV per atom.

Structure (POSCAR):
```
Ca2AgPd3
1.0
-2.485 2.781 4.592
2.485 -2.781 4.592
2.485 2.781 -4.592
Ca Ag Pd
2 1 3
Direct
0.182 0.182 0.000
0.818 0.818 0.000
0.500 0.500 0.000
0.000 0.500 0.500
0.352 0.852 0.500
0.648 0.148 0.500
```

Entry from the Alexandria database: a relaxed structure of Li2TcBr (PBE-GGA).

Computed properties:
As for the uncorrected energy: -3.5653 eV per atom. The calculation puts the uncorrected formation energy at 0.401 eV per atom. The space group is Cmm2. The value obtained for the energy above the most stable polymorph in this dataset is 322 meV per atom.

Structure (POSCAR):
```
Li2TcBr
1.0
1.541 -2.677 0.000
1.541 2.677 0.000
0.000 0.000 9.036
Li Tc Br
2 1 1
Direct
0.000 0.000 0.000
0.500 0.500 0.293
0.500 0.500 0.750
0.000 0.000 0.517
```

Entry from the Alexandria database: a relaxed structure of K4LaSb (PBE-GGA).

Computed properties:
As for the uncorrected energy: -1.8568 eV per atom. The calculation puts the uncorrected formation energy at 0.383 eV per atom. The space group is F-43m.

Structure (POSCAR):
```
K4LaSb
1.0
0.000 5.099 5.099
5.099 0.000 5.099
5.099 5.099 0.000
K La Sb
4 1 1
Direct
0.378 0.378 0.378
0.378 0.378 0.867
0.378 0.867 0.378
0.867 0.378 0.378
0.000 0.000 0.000
0.750 0.750 0.750
```

Entry from the Alexandria database: a relaxed structure of BeTlTcRh2 (PBE-GGA).

Computed properties:
As for the uncorrected energy: -4.7796 eV per atom. The calculated formation energy comes out at 1453 meV/atom. The space group is P4/mmm.

Structure (POSCAR):
```
BeTlTcRh2
1.0
4.662 0.000 0.000
0.000 4.662 0.000
0.000 0.000 5.252
Be Tl Tc Rh
1 1 1 2
Direct
0.000 0.000 0.000
0.500 0.500 0.000
0.500 0.500 0.500
0.000 0.500 0.500
0.500 0.000 0.500
```

Entry from the Alexandria database: a relaxed structure of NaMg2Hg (PBE-GGA).

Computed properties:
As for the uncorrected energy: -1.1684 eV per atom. The calculated formation energy comes out at 34 meV/atom. The space group is R-3m.

Structure (POSCAR):
```
NaMg2Hg
1.0
1.660 0.958 10.986
-1.660 0.958 10.986
0.000 -1.917 10.986
Na Mg Hg
1 2 1
Direct
0.000 0.000 0.000
0.096 0.096 0.096
0.904 0.904 0.904
0.500 0.500 0.500
```

Entry from the Alexandria database: a relaxed structure of Pr6Ru2AuI3 (PBE-GGA).

Computed properties:
As for the uncorrected energy: -5.3598 eV per atom. The calculation puts the uncorrected formation energy at -0.763 eV per atom. The space group is C2/m.

Structure (POSCAR):
```
Pr6Ru2AuI3
1.0
3.687 -6.384 0.000
3.687 6.384 0.000
-2.454 0.000 8.227
Pr Ru Au I
6 2 1 3
Direct
0.082 0.437 0.812
0.207 0.207 0.187
0.437 0.082 0.812
0.563 0.918 0.188
0.793 0.793 0.813
0.918 0.563 0.188
0.167 0.833 0.000
0.833 0.167 0.000
0.500 0.500 0.000
0.000 0.000 0.500
0.334 0.666 0.500
0.666 0.334 0.500
```

Entry from the Alexandria database: a relaxed structure of AlP2IrCl (PBE-GGA).

Computed properties:
As for the uncorrected energy: -4.5945 eV per atom. The calculation puts the uncorrected formation energy at 0.459 eV per atom. The space group is P4/mmm. The value obtained for the energy above the most stable polymorph in this dataset is 0 meV per atom.

Structure (POSCAR):
```
AlP2IrCl
1.0
4.537 0.000 0.000
0.000 4.537 0.000
0.000 0.000 5.408
Al P Ir Cl
1 2 1 1
Direct
0.000 0.000 0.000
0.000 0.500 0.500
0.500 0.000 0.500
0.500 0.500 0.500
0.500 0.500 0.000
```

Entry from the Alexandria database: a relaxed structure of Pm2ErIn6 (PBE-GGA).

Computed properties:
As for the uncorrected energy: -3.8143 eV per atom. The calculated formation energy comes out at -426 meV/atom. The space group is P6/mmm.

Structure (POSCAR):
```
Pm2ErIn6
1.0
8.645 0.000 0.000
-4.322 7.487 0.000
0.000 0.000 3.628
Pm Er In
2 1 6
Direct
0.333 0.667 0.000
0.667 0.333 0.000
0.000 0.000 0.000
0.000 0.332 0.500
0.000 0.668 0.500
0.332 0.000 0.500
0.332 0.332 0.500
0.668 0.000 0.500
0.668 0.668 0.500
```

Entry from the Alexandria database: a relaxed structure of Ac4PtSe2Cl (PBE-GGA).

Computed properties:
As for the uncorrected energy: -5.5014 eV per atom. The calculation puts the uncorrected formation energy at -1.590 eV per atom. The space group is P2/m.

Structure (POSCAR):
```
Ac4PtSe2Cl
1.0
7.733 0.000 0.000
0.000 4.325 0.000
-2.559 0.000 7.522
Ac Pt Se Cl
4 1 2 1
Direct
0.231 0.000 0.234
0.243 0.500 0.749
0.757 0.500 0.251
0.769 0.000 0.766
0.000 0.500 0.000
0.000 0.000 0.500
0.500 0.500 0.500
0.500 0.000 0.000
```

Entry from the Alexandria database: a relaxed structure of LiTm5Mg4 (PBE-GGA).

Computed properties:
As for the uncorrected energy: -3.0789 eV per atom. The calculated formation energy comes out at -14 meV/atom. The space group is P4/mmm.

Structure (POSCAR):
```
LiTm5Mg4
1.0
3.728 0.000 0.000
0.000 3.728 0.000
0.000 0.000 18.766
Li Tm Mg
1 5 4
Direct
0.000 0.000 0.000
0.500 0.500 0.098
0.500 0.500 0.298
0.500 0.500 0.500
0.500 0.500 0.702
0.500 0.500 0.902
0.000 0.000 0.199
0.000 0.000 0.399
0.000 0.000 0.601
0.000 0.000 0.801
```

> Among the records above, which one has the highest uncorrected energy?

NaMg2Hg

> Among the records above, which one has the lowest uncorrected energy?

Ac4PtSe2Cl